Material: Y3TaH
Method: DFT, PBE-GGA
State: relaxed

a = 4.7812 Å, b = 4.7812 Å, c = 4.7812 Å
α = 90.00°, β = 90.00°, γ = 90.00°
Last column: nearest neighbours and their distance in Å.
Positions (direct):
Y 0.0000 0.0000 0.5000  2 H 2.39
Y 0.0000 0.5000 0.0000  2 H 2.39
Y 0.5000 0.0000 0.0000  2 H 2.39
Ta 0.5000 0.5000 0.5000  12 Y 3.38
H 0.0000 0.0000 0.0000  6 Y 2.39

Values from the calculation:
- DOS at the Fermi energy: 5.8 states/eV/cell
- Symmetry: No. 221
- Excess energy over the best structure of this formula in the dataset: 0.00 eV per formula unit
- Density: 6.82 g cm⁻³
- Crystal system: cubic